[1]
Density functional theory data (PBE-GGA) for a relaxed NbFeAsSe2 crystal.

Computed properties:
Formation energy (no corrections), eV/atom: 1.160
Energy above the lowest structure with this stoichiometry, eV/atom: 0.626
Size of the total moment, μB per formula unit: 1.5

Structure (POSCAR):
```
NbFeAsSe2
1.0
5.040 0.000 0.000
0.000 5.040 0.000
0.000 0.000 4.921
Nb Fe As Se
1 1 1 2
Cartesian
0.000 0.000 0.000 Nb
2.520 2.520 0.000 Fe
0.000 0.000 2.460 As
0.000 2.520 2.460 Se
2.520 0.000 2.460 Se
```

***

[2]
Density functional theory data (PBE-GGA) for a relaxed Tb2Dy3Al2 crystal.

Computed properties:
Formation enthalpy at 0 K, meV/atom: -204.9
Energy above the lowest structure with this stoichiometry, eV/atom: 0.000
Size of the total moment, μB per formula unit: 0.0

Structure (POSCAR):
```
Tb2Dy3Al2
1.0
9.131 0.000 0.000
0.000 5.276 0.000
-3.051 0.000 7.829
Tb Dy Al
4 6 4
Cartesian
0.000 0.000 1.946 Tb
1.515 2.638 5.884 Tb
4.565 2.638 1.946 Tb
6.081 0.000 5.884 Tb
-1.525 2.638 3.915 Dy
-1.528 2.638 7.504 Dy
3.043 0.000 0.325 Dy
3.040 0.000 3.915 Dy
3.037 0.000 7.504 Dy
7.609 2.638 0.325 Dy
-0.006 0.000 5.124 Al
1.521 2.638 2.706 Al
4.560 2.638 5.124 Al
6.086 0.000 2.706 Al
```

***

[3]
Density functional theory data (PBE-GGA) for a relaxed Ba5Na2CaIr crystal.

Computed properties:
Formation enthalpy at 0 K, meV/atom: -104.9
Size of the total moment, μB per formula unit: 0.0

Structure (POSCAR):
```
Ba5Na2CaIr
1.0
-4.427 4.427 5.932
4.427 -4.427 5.932
4.427 4.427 -5.932
Ba Na Ca Ir
5 2 1 1
Cartesian
0.000 0.000 0.000 Ba
2.283 2.283 2.952 Ba
2.144 -2.144 8.884 Ba
-2.144 2.144 8.884 Ba
2.144 2.144 8.884 Ba
4.427 0.000 0.005 Na
0.000 4.427 0.005 Na
0.000 0.000 6.069 Ca
0.000 0.000 8.874 Ir
```

***

[4]
Density functional theory data (PBE-GGA) for a relaxed La8Tb4Tm crystal.

Computed properties:
Formation enthalpy at 0 K, meV/atom: 421.8
Size of the total moment, μB per formula unit: 0.0

Structure (POSCAR):
```
La8Tb4Tm
1.0
5.664 3.270 4.538
-5.664 3.270 4.538
0.000 -6.541 4.538
La Tb Tm
8 4 1
Cartesian
0.000 0.000 3.230 La
0.000 -3.388 5.571 La
-2.934 1.694 5.571 La
-2.934 -1.694 8.043 La
2.934 1.694 5.571 La
2.934 -1.694 8.043 La
0.000 3.388 8.043 La
0.000 0.000 10.385 La
0.000 0.000 0.000 Tb
-2.832 -1.635 4.538 Tb
-2.832 1.635 9.076 Tb
0.000 3.270 4.538 Tb
0.000 0.000 6.807 Tm
```